(1)
Material: Li2OsPb
Method: DFT, GGA-PBE
State: optimized geometry

Unit cell a=2.8578 b=2.8578 c=8.7225 alpha=90.00 beta=90.00 gamma=90.00
Last column: nearest neighbours and their distance in Å.
Positions (direct):
Li  0.0000  0.0000  0.2158  4 Os 2.76, 4 Li 2.86
Li  0.0000  0.0000  0.7842  4 Os 2.76, 4 Li 2.86
Os  0.5000  0.5000  0.0000  8 Li 2.76, 4 Os 2.86
Pb  0.5000  0.5000  0.5000  4 Pb 2.86, 8 Li 3.20

Summary:
The density of states at the Fermi level is 2.70 states/eV/cell. Its total magnetic moment is 0.195 μB/atom. The calculation puts the volume at 17.8 Å³ per atom. As for the formation energy: 405 meV/atom. Its final energy is -4.287 eV/atom. Its symmetry is P4/mmm.

***

(2)
Material: TbCePaTl
Method: DFT, GGA-PBE
State: optimized geometry

Unit cell a=5.3715 b=5.3715 c=5.3715 alpha=60.00 beta=60.00 gamma=60.00
Last column: nearest neighbours and their distance in Å.
Positions (direct):
Tb  0.0000  0.0000  0.0000  4 Tl 3.29, 4 Pa 3.29
Ce  0.5000  0.5000  0.5000  4 Tl 3.29, 4 Pa 3.29
Pa  0.2500  0.2500  0.2500  4 Tb 3.29, 4 Ce 3.29
Tl  0.7500  0.7500  0.7500  4 Tb 3.29, 4 Ce 3.29

Summary:
The density of states at the Fermi level is 9.81 states/eV/cell. Its total magnetic moment is 0.532 μB/atom. The calculation puts the volume at 27.4 Å³ per atom. As for the formation energy: 191 meV/atom. Its final energy is -5.416 eV/atom. Its symmetry is F-43m.

***

(3)
Material: La3Tb2ErS6
Method: DFT, GGA-PBE
State: optimized geometry

Unit cell a=6.9352 b=6.9352 c=7.0622 alpha=99.43 beta=99.43 gamma=120.12
Last column: nearest neighbours and their distance in Å.
Positions (direct):
La  0.0000  0.0000  0.0000  6 S 2.92-2.95
La  0.3319  0.6681  0.0000  6 S 2.92-2.94
La  0.6681  0.3319  0.0000  6 S 2.92-2.94
Tb  0.1666  0.8334  0.5000  6 S 2.78-2.79
Tb  0.8334  0.1666  0.5000  6 S 2.78-2.79
Er  0.5000  0.5000  0.5000  6 S 2.75
S  0.0941  0.4238  0.2710  1 Er 2.75, 2 Tb 2.78, 3 La 2.92-2.94
S  0.2471  0.2471  0.7304  1 Er 2.75, 2 Tb 2.79, 3 La 2.93-2.95
S  0.4238  0.0941  0.2710  1 Er 2.75, 2 Tb 2.78, 3 La 2.92-2.94
S  0.5762  0.9059  0.7290  1 Er 2.75, 2 Tb 2.78, 3 La 2.92-2.94
S  0.7529  0.7529  0.2696  1 Er 2.75, 2 Tb 2.79, 3 La 2.93-2.95
S  0.9059  0.5762  0.7290  1 Er 2.75, 2 Tb 2.78, 3 La 2.92-2.94

Summary:
The density of states at the Fermi level is 6.00 states/eV/cell. Its total magnetic moment is 0.000 μB/atom. The calculation puts the volume at 23.1 Å³ per atom. The calculation puts the uncorrected formation energy at -2.0883 eV/atom. Its final energy is -6.536 eV/atom. Its symmetry is C2/m.

***

(4)
Material: UBe17Mo
Method: DFT, GGA-PBE
State: optimized geometry

Unit cell a=5.6607 b=5.6607 c=5.6607 alpha=82.98 beta=82.98 gamma=82.98
Last column: nearest neighbours and their distance in Å.
Positions (direct):
U  0.0000  0.0000  0.0000  19 Be 2.70-2.88
Be  0.0490  0.3446  0.6261  8 Be 2.11-2.34
Be  0.0490  0.6261  0.3446  8 Be 2.11-2.34
Be  0.1859  0.6807  0.6807  9 Be 2.16-2.34
Be  0.2469  0.2469  0.2469  4 Be 2.13-2.31
Be  0.3399  0.3399  0.8403  10 Be 2.12-2.31
Be  0.3399  0.8403  0.3399  10 Be 2.12-2.31
Be  0.3446  0.0490  0.6261  8 Be 2.11-2.34
Be  0.3446  0.6261  0.0490  8 Be 2.11-2.34
Be  0.4413  0.4413  0.4413  7 Be 2.13-2.29
Be  0.5004  0.9929  0.9929  9 Be 2.17-2.39
Be  0.6261  0.0490  0.3446  8 Be 2.11-2.34
Be  0.6261  0.3446  0.0490  8 Be 2.11-2.34
Be  0.6807  0.1859  0.6807  9 Be 2.16-2.34
Be  0.6807  0.6807  0.1859  9 Be 2.16-2.34
Be  0.8403  0.3399  0.3399  10 Be 2.12-2.31
Be  0.9929  0.5004  0.9929  9 Be 2.17-2.39
Be  0.9929  0.9929  0.5004  9 Be 2.17-2.39
Mo  0.6768  0.6768  0.6768  16 Be 2.58-2.86

Summary:
The density of states at the Fermi level is 7.44 states/eV/cell. Its total magnetic moment is 0.106 μB/atom. The calculation puts the volume at 9.3 Å³ per atom. As for the formation energy: -33 meV/atom. Its final energy is -4.531 eV/atom. Its symmetry is R3m.

***

(5)
Material: Cs2In2HgCl6
Method: DFT, GGA-PBE
State: optimized geometry

Unit cell a=8.2288 b=8.6874 c=9.2448 alpha=87.34 beta=63.85 gamma=67.64
Last column: nearest neighbours and their distance in Å.
Positions (direct):
Cs  0.1082  0.2206  0.2794  5 Cl 3.48-3.77
Cs  0.8918  0.7794  0.7206  5 Cl 3.48-3.77
In  0.3430  0.1328  0.6159  3 Cl 2.44-2.46
In  0.6570  0.8672  0.3841  3 Cl 2.44-2.46
Hg  0.5000  0.5000  0.0000  4 Cl 3.85-4.02
Cl  0.0169  0.1266  0.7041  1 In 2.46
Cl  0.2870  0.4011  0.5069  1 In 2.46
Cl  0.3832  0.1634  0.8582  1 In 2.44
Cl  0.6168  0.8366  0.1418  1 In 2.44
Cl  0.7130  0.5989  0.4931  1 In 2.46
Cl  0.9831  0.8734  0.2959  1 In 2.46

Summary:
The density of states at the Fermi level is 0.00 states/eV/cell. Its total magnetic moment is 0.000 μB/atom. The calculation puts the volume at 49.3 Å³ per atom. The calculation puts the uncorrected formation energy at -1.2899 eV/atom. Its final energy is -2.978 eV/atom. Its symmetry is P-1.

***

(6)
Material: ScIr2Au
Method: DFT, GGA-PBE
State: optimized geometry

Unit cell a=4.0256 b=4.0256 c=3.9618 alpha=90.00 beta=90.00 gamma=90.00
Last column: nearest neighbours and their distance in Å.
Positions (direct):
Sc  0.0000  0.0000  0.0000  8 Ir 2.82, 4 Au 2.85
Ir  0.0000  0.5000  0.5000  4 Sc 2.82, 4 Au 2.82, 4 Ir 2.85
Ir  0.5000  0.0000  0.5000  4 Sc 2.82, 4 Au 2.82, 4 Ir 2.85
Au  0.5000  0.5000  0.0000  8 Ir 2.82, 4 Sc 2.85

Summary:
The density of states at the Fermi level is 3.53 states/eV/cell. Its total magnetic moment is 0.000 μB/atom. The calculation puts the volume at 16.1 Å³ per atom. As for the formation energy: -500 meV/atom. The relative energy among the computed polymorphs is 0.000 eV per atom. Its final energy is -7.333 eV/atom. Its symmetry is P4/mmm.

***

(7)
Material: PaHRu
Method: DFT, GGA-PBE
State: optimized geometry

Unit cell a=3.7520 b=3.7520 c=3.6977 alpha=90.00 beta=90.00 gamma=120.00
Last column: nearest neighbours and their distance in Å.
Positions (direct):
Pa  0.0000  0.0000  0.0000  3 H 2.17
H  0.6667  0.3333  0.0210  3 Pa 2.17
Ru  0.3333  0.6667  0.5073  6 H 2.82-2.88, 6 Pa 2.83-2.87

Summary:
The density of states at the Fermi level is 1.42 states/eV/cell. Its total magnetic moment is 0.000 μB/atom. The calculation puts the volume at 15.0 Å³ per atom. The relative energy among the computed polymorphs is 0.290 eV per atom. Its final energy is -7.533 eV/atom. Its symmetry is P3m1.

***

(8)
Material: VAuSN2
Method: DFT, GGA-PBE
State: optimized geometry

Unit cell a=3.6949 b=3.6949 c=5.3938 alpha=90.00 beta=90.00 gamma=90.00
Last column: nearest neighbours and their distance in Å.
Positions (direct):
V  0.0000  0.0000  0.0000  4 N 1.85
Au  0.5000  0.5000  0.5000  4 S 2.61
S  0.0000  0.0000  0.5000  4 Au 2.61, 2 V 2.70
N  0.0000  0.5000  0.0000  2 V 1.85
N  0.5000  0.0000  0.0000  2 V 1.85

Summary:
The density of states at the Fermi level is 2.43 states/eV/cell. Its total magnetic moment is 0.099 μB/atom. The calculation puts the volume at 14.7 Å³ per atom. The calculation puts the uncorrected formation energy at 0.4456 eV/atom. The relative energy among the computed polymorphs is 0.000 eV per atom. Its final energy is -6.189 eV/atom. Its symmetry is P4/mmm.

***

(9)
Material: Y2GaCoIr
Method: DFT, GGA-PBE
State: optimized geometry

Unit cell a=5.3323 b=5.3323 c=4.4996 alpha=90.00 beta=90.00 gamma=90.00
Last column: nearest neighbours and their distance in Å.
Positions (direct):
Y  0.0000  0.5000  0.0000  2 Ir 2.67
Y  0.5000  0.0000  0.0000  2 Ir 2.67
Ga  0.0000  0.0000  0.5000  8 Y 3.49, 4 Co 3.77
Co  0.5000  0.5000  0.5000  2 Ir 2.25
Ir  0.5000  0.5000  0.0000  2 Co 2.25

Summary:
The density of states at the Fermi level is 5.35 states/eV/cell. Its total magnetic moment is 0.000 μB/atom. The calculation puts the volume at 25.6 Å³ per atom. As for the formation energy: 96 meV/atom. Its final energy is -6.288 eV/atom. Its symmetry is P4/mmm.

***

(10)
Material: Ca2HfInSn
Method: DFT, GGA-PBE
State: optimized geometry

Unit cell a=5.7753 b=5.7753 c=5.5002 alpha=90.00 beta=90.00 gamma=90.00
Last column: nearest neighbours and their distance in Å.
Positions (direct):
Ca  0.0000  0.5000  0.0000  2 Hf 2.89
Ca  0.5000  0.0000  0.0000  2 Hf 2.89
Hf  0.0000  0.0000  0.0000  2 In 2.75, 4 Ca 2.89
In  0.0000  0.0000  0.5000  2 Hf 2.75
Sn  0.5000  0.5000  0.5000  8 Ca 3.99, 4 In 4.08

Summary:
The density of states at the Fermi level is 6.50 states/eV/cell. Its total magnetic moment is 0.000 μB/atom. The calculation puts the volume at 36.7 Å³ per atom. As for the formation energy: 780 meV/atom. Its final energy is -3.360 eV/atom. Its symmetry is P4/mmm.

***

(11)
Material: BeAl2Pt
Method: DFT, GGA-PBE
State: optimized geometry

Unit cell a=3.7713 b=3.7713 c=4.6173 alpha=113.66 beta=113.66 gamma=90.40
Last column: nearest neighbours and their distance in Å.
Positions (direct):
Be  0.0000  0.0000  0.0000  8 Al 2.66-2.68, 4 Pt 2.67-2.68
Al  0.5005  0.4995  0.0000  4 Be 2.66-2.68, 4 Al 2.67-2.68, 4 Pt 2.67-2.68
Al  0.7508  0.2492  0.5000  4 Pt 2.66-2.68, 4 Be 2.67-2.68, 4 Al 2.67-2.68
Pt  0.2496  0.7504  0.5000  8 Al 2.66-2.68, 4 Be 2.67-2.68

Summary:
The density of states at the Fermi level is 0.90 states/eV/cell. Its total magnetic moment is 0.000 μB/atom. The calculation puts the volume at 13.5 Å³ per atom. As for the formation energy: -441 meV/atom. Its final energy is -4.754 eV/atom. Its symmetry is C2.

***

(12)
Material: P2OsW
Method: DFT, GGA-PBE
State: optimized geometry

Unit cell a=7.6918 b=7.6918 c=7.6918 alpha=21.93 beta=21.93 gamma=21.93
Last column: nearest neighbours and their distance in Å.
Positions (direct):
P  0.2484  0.2484  0.2484  3 Os 2.50, 3 W 2.55
P  0.7516  0.7516  0.7516  3 Os 2.50, 3 W 2.55
Os  0.5000  0.5000  0.5000  6 P 2.50
W  0.0000  0.0000  0.0000  6 P 2.55

Summary:
The density of states at the Fermi level is 5.50 states/eV/cell. Its total magnetic moment is 0.000 μB/atom. The calculation puts the volume at 13.9 Å³ per atom. As for the formation energy: 126 meV/atom. The relative energy among the computed polymorphs is 0.290 eV per atom. Its final energy is -8.625 eV/atom. Its symmetry is R-3m.

***

The lowest final energy belongs to which entry?
P2OsW

***

Which value of final energy does entry 8 give?
-6.189 eV/atom